CuRu3Se | meta-GGA SCAN | single point on PBEsol structure

Results
ρ in Mg/m³: 8.73
ΔE_f (raw) in kcal/mol of atoms: 42.39

a b c (Å): 4.3932 4.3932 4.3932
angles (deg): 90.00 90.00 90.00
Space group Pm-3m (No. 221)
Inequivalent atoms, fractional coordinates:
Cu: 0.0000 0.0000 0.0000 (multiplicity 1)
Ru: 0.0000 0.0000 0.5000 (multiplicity 3)
Se: 0.5000 0.5000 0.5000 (multiplicity 1)

CuRu2Se | meta-GGA SCAN | single point on PBEsol structure

Results
ρ in Mg/m³: 10.18
ΔE_f (raw) in kcal/mol of atoms: 8.21

a b c (Å): 2.8315 2.8315 7.0118
angles (deg): 90.00 90.00 90.00
Space group P4mm (No. 99)
Inequivalent atoms, fractional coordinates:
Cu: 0.0000 0.0000 0.0000 (multiplicity 1)
Ru: 0.0000 0.0000 0.4846 (multiplicity 1)
Ru: 0.5000 0.5000 0.2448 (multiplicity 1)
Se: 0.5000 0.5000 0.7239 (multiplicity 1)